Nd4Sm3Hg4, relaxed, DFT GGA-PBE; formation energy = -281 meV per atom
1.0
-1.870 4.685 9.612
1.870 -4.685 9.612
1.870 4.685 -9.612
Nd Sm Hg
4 3 4
Direct
0.023 0.839 0.184
0.344 0.161 0.184
0.656 0.839 0.816
0.977 0.161 0.816
0.000 0.500 0.500
0.401 0.401 0.000
0.599 0.599 0.000
0.268 0.768 0.500
0.290 0.000 0.290
0.710 0.000 0.710
0.732 0.232 0.500

=====

Sr3Pu2O9, relaxed, DFT GGA-PBE; total DFT energy (no corrections) = -228.78 eV for the cell shown
1.0
5.145 2.971 4.591
-5.145 2.971 4.591
0.000 -5.941 4.591
Sr Pu O
6 4 18
Direct
0.072 0.750 0.428
0.250 0.572 0.928
0.428 0.072 0.750
0.572 0.928 0.250
0.750 0.428 0.072
0.928 0.250 0.572
0.138 0.138 0.138
0.362 0.362 0.362
0.638 0.638 0.638
0.862 0.862 0.862
0.064 0.270 0.912
0.088 0.936 0.730
0.101 0.399 0.250
0.230 0.436 0.588
0.250 0.101 0.399
0.270 0.912 0.064
0.399 0.250 0.101
0.412 0.770 0.564
0.436 0.588 0.230
0.564 0.412 0.770
0.588 0.230 0.436
0.601 0.750 0.899
0.730 0.088 0.936
0.750 0.899 0.601
0.770 0.564 0.412
0.899 0.601 0.750
0.912 0.064 0.270
0.936 0.730 0.088

=====

CsCeSiO4, relaxed, DFT GGA-PBE; total DFT energy (no corrections) = -103.22 eV for the cell shown
1.0
5.890 0.000 0.000
0.000 5.872 0.000
-2.419 0.000 7.725
Cs Ce Si O
2 2 2 8
Direct
0.203 0.250 0.430
0.797 0.750 0.570
0.272 0.250 0.957
0.728 0.750 0.043
0.264 0.750 0.153
0.736 0.250 0.847
0.078 0.750 0.953
0.095 0.750 0.281
0.446 0.529 0.173
0.446 0.971 0.173
0.554 0.029 0.827
0.554 0.471 0.827
0.905 0.250 0.719
0.922 0.250 0.047